12
Lattice="7.1063 0.0000 0.0000 0.0000 6.7567 2.7750 0.0000 0.9698 7.2397" Properties=species:S:1:pos:R:3 comment="KSn2S3 PBE optimized geometry" e_form_raw_mev_per_atom=-537.9 space_group="No. 63" pbc="T T T"
K 1.7766 3.8594 5.0104
K 5.3297 3.8672 5.0044
Sn 0.0000 1.2883 1.6698
Sn 3.5531 1.2883 1.6698
Sn 0.0000 6.4382 8.3449
Sn 3.5531 6.4382 8.3449
S 5.3297 6.2814 3.1418
S 5.3297 1.0430 3.8492
S 1.7766 3.4586 1.9855
S 5.3297 4.2679 8.0292
S 1.7766 6.6836 6.1655
S 1.7766 1.4452 6.8730



12
Lattice="-1.7348 -0.3054 9.8906 4.8514 -3.4070 2.6185 5.3627 2.9407 9.0732" Properties=species:S:1:pos:R:3 comment="AcBiP PBE optimized geometry" e_form_ev_per_atom=-0.78 space_group="No. 1" pbc="T T T"
Bi 1.4029 0.6717 2.5567
Bi 5.4081 0.7979 10.9663
Bi 1.5511 -0.2541 9.7950
Bi 7.6193 -0.6610 12.7010
P 2.6103 -1.6332 13.8085
P 6.5664 -0.4260 15.2603
P 5.1712 -2.5157 8.0512
P 2.7365 1.5095 16.7088
Ac 5.2436 -0.3755 17.9922
Ac 3.7778 -2.3661 10.9820
Ac 4.1228 1.1419 14.0466
Ac 2.9177 -0.8270 6.5891



3
Lattice="-3.6637 -5.0466 -0.4895 0.7668 -5.9912 1.6271 -0.0253 6.1048 1.3639" Properties=species:S:1:pos:R:3 comment="TlAgP PBE optimized geometry" e_form_ev_per_atom=0.31 space_group="No. 44" pbc="T T T"
Ag -2.7483 -10.4716 1.0792
P -1.1029 -4.2022 0.4331
Tl -1.9426 -7.4017 0.7628



14
Lattice="7.3454 0.0476 -0.0818 -2.4406 6.9282 0.0818 -2.4641 -3.4796 5.9820" Properties=species:S:1:pos:R:3 comment="Tm8ZnRu5 PBE optimized geometry" e_form_ev_per_atom=-0.27 space_group="No. 82" pbc="T T T"
Tm -0.9487 5.2032 0.1837
Tm 5.0956 -1.7695 4.3503
Tm 3.9479 0.4961 2.0423
Tm 1.6441 -0.4007 5.3218
Tm 1.5717 3.3519 1.5971
Tm 0.3125 3.1792 5.2186
Tm 0.4218 0.3794 2.2114
Tm -2.2824 3.5450 3.0028
Zn -1.2321 0.8663 4.5069
Ru -1.0140 2.2952 0.8772
Ru 3.4626 5.3797 1.5615
Ru 2.3939 1.9468 3.8226
Ru 2.4406 -1.7160 2.9501
Ru 0.0387 -2.6294 5.7027



24
Lattice="9.1817 0.0000 -2.7215 0.0000 8.8221 0.0000 0.0632 0.0000 10.9601" Properties=species:S:1:pos:R:3 comment="K3SbAu2 PBE optimized geometry" e_form_raw_mev_per_atom=-390.3 space_group="No. 14" pbc="T T T"
K 3.2883 8.5704 -0.0432
K 1.3341 4.1593 4.1625
K 5.9566 0.2517 8.2818
K 7.9108 4.6628 4.0761
K 3.3164 4.6698 -0.0253
K 1.3061 0.2587 4.1446
K 5.9286 4.1523 8.2639
K 7.9389 8.5634 4.0941
K 8.8240 6.5869 -1.2087
K 4.9802 2.1758 2.6065
K 0.4209 2.2352 9.4473
K 4.2648 6.6462 5.6321
Sb 5.8347 6.6413 1.7949
Sb 7.9695 2.2303 -0.3971
Sb 3.4103 2.1808 6.4437
Sb 1.2754 6.5918 8.6357
Au 6.9155 0.0142 0.6929
Au 6.8887 4.4253 0.7049
Au 2.3295 8.8079 7.5457
Au 2.3563 4.3968 7.5338
Au 2.9140 6.6273 2.6166
Au 1.7085 2.2163 1.5027
Au 6.3310 2.1948 5.6220
Au 7.5364 6.6058 6.7359



24
Lattice="4.0636 0.0000 0.0000 0.0000 9.9199 0.0000 0.0000 0.0000 10.9930" Properties=species:S:1:pos:R:3 comment="Zr3Zn2Co PBE optimized geometry" e_form_ev_per_atom=-0.21 space_group="No. 62" pbc="T T T"
Zr 1.0159 3.6699 0.4339
Zr 3.0477 6.2500 10.5591
Zr 3.0477 8.6298 5.0626
Zr 1.0159 1.2901 5.9304
Zr 1.0159 6.9179 2.5598
Zr 3.0477 3.0020 8.4332
Zr 3.0477 1.9579 2.9367
Zr 1.0159 7.9619 8.0563
Zr 1.0159 4.2731 4.1175
Zr 3.0477 5.6468 6.8755
Zr 3.0477 9.2330 1.3790
Zr 1.0159 0.6869 9.6140
Zn 1.0159 6.8272 5.4204
Zn 3.0477 3.0927 5.5726
Zn 3.0477 1.8673 0.0761
Zn 1.0159 8.0526 10.9169
Zn 1.0159 9.7569 3.4489
Zn 3.0477 0.1630 7.5441
Zn 3.0477 4.7970 2.0476
Zn 1.0159 5.1229 8.9454
Co 1.0159 1.1731 1.3691
Co 3.0477 8.7467 9.6239
Co 3.0477 6.1331 4.1274
Co 1.0159 3.7868 6.8656



4
Lattice="3.6845 0.0000 0.0000 1.8422 3.1908 0.0000 1.8422 1.0636 9.4897" Properties=species:S:1:pos:R:3 comment="Ce2MnSb PBE optimized geometry" e_form_raw_mev_per_atom=227.5 space_group="No. 166" pbc="T T T"
Sb 0.0000 0.0000 0.0000
Mn 3.6845 2.1272 4.7449
Ce 1.8422 1.0636 6.2634
Ce 5.5267 3.1908 3.2263



5
Lattice="-2.4758 -2.4118 -2.8410 2.8619 -3.4701 0.4519 -2.4219 -1.5511 3.4273" Properties=species:S:1:pos:R:3 comment="MnZnGa2Co PBE optimized geometry" e_form_ev_per_atom=0.79 space_group="No. 123" pbc="T T T"
Zn 1.4310 -1.7351 0.2260
Mn 0.0000 0.0000 0.0000
Co -1.0178 -3.7165 0.5191
Ga -1.2109 -0.7755 1.7136
Ga -1.2379 -1.2059 -1.4205



Please write out number 6 again, unchanged.
24
Lattice="4.0636 0.0000 0.0000 0.0000 9.9199 0.0000 0.0000 0.0000 10.9930" Properties=species:S:1:pos:R:3 comment="Zr3Zn2Co PBE optimized geometry" e_form_ev_per_atom=-0.21 space_group="No. 62" pbc="T T T"
Zr 1.0159 3.6699 0.4339
Zr 3.0477 6.2500 10.5591
Zr 3.0477 8.6298 5.0626
Zr 1.0159 1.2901 5.9304
Zr 1.0159 6.9179 2.5598
Zr 3.0477 3.0020 8.4332
Zr 3.0477 1.9579 2.9367
Zr 1.0159 7.9619 8.0563
Zr 1.0159 4.2731 4.1175
Zr 3.0477 5.6468 6.8755
Zr 3.0477 9.2330 1.3790
Zr 1.0159 0.6869 9.6140
Zn 1.0159 6.8272 5.4204
Zn 3.0477 3.0927 5.5726
Zn 3.0477 1.8673 0.0761
Zn 1.0159 8.0526 10.9169
Zn 1.0159 9.7569 3.4489
Zn 3.0477 0.1630 7.5441
Zn 3.0477 4.7970 2.0476
Zn 1.0159 5.1229 8.9454
Co 1.0159 1.1731 1.3691
Co 3.0477 8.7467 9.6239
Co 3.0477 6.1331 4.1274
Co 1.0159 3.7868 6.8656



Please write out number 3 again, unchanged.
3
Lattice="-3.6637 -5.0466 -0.4895 0.7668 -5.9912 1.6271 -0.0253 6.1048 1.3639" Properties=species:S:1:pos:R:3 comment="TlAgP PBE optimized geometry" e_form_ev_per_atom=0.31 space_group="No. 44" pbc="T T T"
Ag -2.7483 -10.4716 1.0792
P -1.1029 -4.2022 0.4331
Tl -1.9426 -7.4017 0.7628